Material: CoIr3C
Method: DFT, PBE
State: optimized geometry

Lattice parameters (Å, degrees): 4.0507 4.0507 4.0507 90.00 90.00 90.00
Closest atoms and distances in Å follow each position.
Space group Pm-3m (No. 221)
Unique sites:
Co 0.0000 0.0000 0.0000 x1  12 Ir 2.86
Ir 0.0000 0.5000 0.5000 x3  2 C 2.03
C 0.5000 0.5000 0.5000 x1  6 Ir 2.03

Output
* E: -8.035 eV per atom
* excess energy over the best structure of this formula in the dataset: 0 meV/atom
* total magnetization: 3.1 μB per formula unit
* formation energy from the elements: 0.548 eV per atom

Material: CoIr3C
Method: DFT, PBE
State: optimized geometry

Lattice parameters (Å, degrees): 4.4324 4.4324 4.4324 90.00 90.00 90.00
Closest atoms and distances in Å follow each position.
Space group Pm-3m (No. 221)
Unique sites:
Co 0.0000 0.0000 0.0000 x1  6 Ir 2.22
Ir 0.0000 0.0000 0.5000 x3  2 Co 2.22
C 0.5000 0.5000 0.5000 x1  12 Ir 3.13

Output
* E: -5.810 eV per atom
* excess energy over the best structure of this formula in the dataset: 2225 meV/atom
* total magnetization: 3.2 μB per formula unit
* formation energy from the elements: 2.772 eV per atom

Material: CoIrC2
Method: DFT, PBE
State: optimized geometry

Lattice parameters (Å, degrees): 5.2479 5.2479 5.2479 90.00 90.00 90.00
Closest atoms and distances in Å follow each position.
Space group Fm-3m (No. 225)
Unique sites:
Co 0.0000 0.0000 0.0000 x4  8 C 2.27
Ir 0.0000 0.0000 0.5000 x4  8 C 2.27
C 0.2500 0.2500 0.2500 x8  4 Co 2.27, 4 Ir 2.27

Output
* E: -7.180 eV per atom
* excess energy over the best structure of this formula in the dataset: 852 meV/atom
* total magnetization: 0.9 μB per formula unit
* formation energy from the elements: 1.424 eV per atom

Material: CoIrC2
Method: DFT, PBE
State: optimized geometry

Lattice parameters (Å, degrees): 4.4571 4.4571 8.9289 90.00 90.00 90.00
Closest atoms and distances in Å follow each position.
Space group I-42d (No. 122)
Unique sites:
Co 0.0000 0.0000 0.0000 x4  4 C 1.88
Ir 0.0000 0.0000 0.5000 x4  4 C 1.98
C 0.2303 0.2500 0.1250 x8  2 Co 1.88, 2 Ir 1.98

Output
* E: -8.032 eV per atom
* excess energy over the best structure of this formula in the dataset: 0 meV/atom
* total magnetization: 0.0 μB per formula unit
* formation energy from the elements: 0.572 eV per atom